1.
Below is SrCa2Rh9 after structural relaxation, with properties calculated at the PBE level.

Cell: 5.3532 5.3532 9.2300 Å, 73.14 73.14 60.00°
Fractional coordinates of all 12 atoms:
Ca (0.1401, 0.1401, 0.5796)
Sr (0.0000, 0.0000, 0.0000)
Rh (0.9173, 0.4178, 0.2470)
Rh (0.0827, 0.5822, 0.7530)
Rh (0.5000, 0.5000, 0.5000)
Rh (0.4178, 0.4178, 0.2470)
Ca (0.8599, 0.8599, 0.4204)
Rh (0.6667, 0.6667, 0.9999)
Rh (0.5822, 0.0827, 0.7530)
Rh (0.5822, 0.5822, 0.7530)
Rh (0.3333, 0.3333, 0.0001)
Rh (0.4178, 0.9173, 0.2470)

Values from the calculation:
Formation energy from the elements in eV per atom: -0.24
Magnetic moment in μB per formula unit: 0.01

=====

2.
Below is Li2Mg2Pd5 after structural relaxation, with properties calculated at the PBE level.

Cell: 6.7505 6.8728 7.9775 Å, 115.52 115.03 90.00°
Fractional coordinates of all 18 atoms:
Pd (0.4568, 0.1851, 0.7015)
Li (0.5000, 0.5437, 0.0000)
Pd (0.0029, 0.7277, 0.5000)
Li (0.0000, 0.0437, 0.0000)
Mg (0.1627, 0.5867, 0.2171)
Li (0.3276, 0.4131, 0.5000)
Li (0.6724, 0.9131, 0.5000)
Pd (0.7960, 0.3185, 0.1105)
Mg (0.5544, 0.0867, 0.2171)
Pd (0.5432, 0.4837, 0.2985)
Mg (0.4456, 0.8695, 0.7829)
Pd (0.8145, 0.8185, 0.1105)
Pd (0.9971, 0.2277, 0.5000)
Pd (0.2553, 0.9837, 0.2985)
Pd (0.7447, 0.6851, 0.7015)
Pd (0.2040, 0.2080, 0.8895)
Pd (0.1855, 0.7080, 0.8895)
Mg (0.8373, 0.3695, 0.7829)

Values from the calculation:
Formation energy from the elements in eV per atom: -0.29
Magnetic moment in μB per formula unit: 0.00

=====

3.
Below is Rb2Be2As after structural relaxation, with properties calculated at the PBE level.

Cell: 4.9126 4.9126 7.1962 Å, 70.04 70.04 90.00°
Fractional coordinates of all 5 atoms:
Be (0.4198, 0.4198, 0.1603)
As (0.0000, 0.0000, 0.0000)
Be (0.5802, 0.5802, 0.8397)
Rb (0.2500, 0.7500, 0.5000)
Rb (0.7500, 0.2500, 0.5000)

Values from the calculation:
Formation energy from the elements in eV per atom: 1.14
Magnetic moment in μB per formula unit: 0.00
Relative energy among the computed polymorphs in meV per atom: 678